Entry from Alexandria: an optimized crystal structure of Zn2SiO4 (PBE-GGA).

Structure (CIF):
```
data_Zn2SiO4
_chemical_formula_sum 'Zn8 Si4 O16'
_symmetry_space_group_name_H-M 'P 1'
_symmetry_Int_Tables_number 1
_cell_length_a 8.0561
_cell_length_b 5.6030
_cell_length_c 9.0989
_cell_angle_alpha 58.21
_cell_angle_beta 90.00
_cell_angle_gamma 90.00
loop_
_symmetry_equiv_pos_as_xyz
'x,y,z'
loop_
_atom_site_label
_atom_site_type_symbol
_atom_site_fract_x
_atom_site_fract_y
_atom_site_fract_z
O1 O 0.1250 0.8344 0.0783
Zn1 Zn 0.1190 0.2422 0.9014
O2 O 0.3750 0.8344 0.5783
Zn2 Zn 0.9921 0.8531 0.6901
Zn3 Zn 0.5079 0.8531 0.1901
O3 O 0.9295 0.2334 0.4981
Si1 Si 0.7398 0.3660 0.4633
O4 O 0.3494 0.6166 0.3783
O5 O 0.6250 0.1656 0.4217
O6 O 0.2646 0.3080 0.7071
Si2 Si 0.2602 0.6340 0.5367
O7 O 0.5705 0.2334 0.9981
O8 O 0.2354 0.3080 0.2071
Zn4 Zn 0.8810 0.7578 0.0986
O9 O 0.8494 0.3834 0.1217
O10 O 0.0705 0.7666 0.5019
O11 O 0.6506 0.3834 0.6217
Zn5 Zn 0.3810 0.2422 0.4014
Zn6 Zn 0.0079 0.1469 0.3099
O12 O 0.7646 0.6920 0.7929
O13 O 0.1506 0.6166 0.8783
O14 O 0.4295 0.7666 0.0019
Zn7 Zn 0.6190 0.7578 0.5986
Si3 Si 0.7602 0.3660 0.9633
O15 O 0.7354 0.6920 0.2929
Si4 Si 0.2398 0.6340 0.0367
Zn8 Zn 0.4921 0.1469 0.8099
O16 O 0.8750 0.1656 0.9217
```

Uncorrected energy, eV/atom: -5.905
Energy relative to the elements, uncorrected, eV per atom: -1.933
Symmetry: P2_1/c (14)